## BiAs2P (PBE-GGA)

Data for a relaxed BiAs2P crystal.

Polymorph energy (0 for the lowest one) in eV per atom: 0.2485
ΔE_f in eV per atom: 0.551
V in A^3/atom: 21.4
Calculated density in kg/m³: 7548

The structure in CIF format:
```
data_BiAs2P
_chemical_formula_sum 'Bi4 As8 P4'
_space_group_name_H-M_alt 'F m -3 m'
_space_group_IT_number 225
_space_group_name_Hall '-F 4 2 3'
_cell_length_a 7.000
_cell_length_b 7.000
_cell_length_c 7.000
_cell_angle_alpha 90.00
_cell_angle_beta 90.00
_cell_angle_gamma 90.00
loop_
_atom_site_label
_atom_site_fract_x
_atom_site_fract_y
_atom_site_fract_z
_atom_site_occupancy
Bi1 0.000 0.000 0.000 1
As1 0.250 0.250 0.250 1
P1 0.000 0.000 0.500 1
```



## Ac4LaCo2 (PBE-GGA)

Data for a relaxed Ac4LaCo2 crystal.

ΔE_f in eV per atom: 0.001
V in A^3/atom: 33.2
Calculated density in kg/m³: 8328

The structure in CIF format:
```
data_Ac4LaCo2
_chemical_formula_sum 'Ac8 La2 Co4'
_space_group_name_H-M_alt 'P 1 21/m 1'
_space_group_IT_number 11
_space_group_name_Hall '-P 2yb'
_cell_length_a 7.445
_cell_length_b 7.254
_cell_length_c 9.312
_cell_angle_alpha 90.00
_cell_angle_beta 112.55
_cell_angle_gamma 90.00
loop_
_atom_site_label
_atom_site_fract_x
_atom_site_fract_y
_atom_site_fract_z
_atom_site_occupancy
Ac1 0.173 0.250 0.007 1
Ac2 0.215 0.503 0.421 1
Ac3 0.271 0.750 0.794 1
La1 0.490 0.250 0.779 1
Co1 0.147 0.250 0.668 1
Co2 0.481 0.250 0.355 1
```



## ZnSiP (PBE-GGA)

Data for a relaxed ZnSiP crystal.

Polymorph energy (0 for the lowest one) in eV per atom: 0.5946
V in A^3/atom: 15.3
Energy relative to the elements, uncorrected in eV per atom: 0.4589
Calculated density in kg/m³: 4517

The structure in CIF format:
```
data_ZnSiP
_chemical_formula_sum 'Zn1 Si1 P1'
_space_group_name_H-M_alt 'P 3 m 1'
_space_group_IT_number 156
_space_group_name_Hall 'P 3 -2"'
_cell_length_a 2.6784
_cell_length_b 2.6784
_cell_length_c 7.3655
_cell_angle_alpha 90.00
_cell_angle_beta 90.00
_cell_angle_gamma 120.00
loop_
_atom_site_label
_atom_site_fract_x
_atom_site_fract_y
_atom_site_fract_z
_atom_site_occupancy
Zn1 0.0000 0.0000 0.0000 1
Si1 0.3333 0.6667 0.6584 1
P1 0.6667 0.3333 0.3488 1
```



## DyErTeSe (PBE-GGA)

Data for a relaxed DyErTeSe crystal.

V in A^3/atom: 26.1
Energy relative to the elements, uncorrected in eV per atom: -1.5304
Calculated density in kg/m³: 8524

The structure in CIF format:
```
data_DyErTeSe
_chemical_formula_sum 'Dy3 Er3 Te3 Se3'
_space_group_name_H-M_alt 'R 3 m'
_space_group_IT_number 160
_space_group_name_Hall 'R 3 -2"'
_cell_length_a 4.0703
_cell_length_b 4.0703
_cell_length_c 21.8482
_cell_angle_alpha 90.00
_cell_angle_beta 90.00
_cell_angle_gamma 120.00
loop_
_atom_site_label
_atom_site_fract_x
_atom_site_fract_y
_atom_site_fract_z
_atom_site_occupancy
Dy1 0.0000 0.0000 0.0000 1
Er1 0.0000 0.0000 0.8128 1
Te1 0.0000 0.0000 0.5731 1
Se1 0.0000 0.0000 0.4055 1
```